An optimized crystal structure of Tm5Pb2N. Source: Alexandria via LeMat-Bulk, functional GGA-PBE.

Computed properties:
**DOS at the Fermi energy**: 0.93 states/eV per atom
**ΔE to the lowest computed polymorph**: 0.422 eV per atom
**Formation energy from raw total energies**: -0.269 eV per atom
**Symmetry**: Cmcm, No. 63
**Magnetic moment**: 0.0 μB/cell
**Total DFT energy (no corrections)**: -80.502 eV per cell
**ρ**: 8.996 g/cm³

Cell lengths 4.6177, 8.7430, 12.0703 Å; angles 90.00, 90.00, 105.31 degrees
Fractional positions:
Pb 0.9291 0.8582 0.3709
Tm 0.6951 0.3903 0.9173
Tm 0.2703 0.5405 0.7500
Pb 0.0709 0.1418 0.8709
Tm 0.6951 0.3903 0.5827
N 0.7803 0.5605 0.7500
Tm 0.8856 0.7713 0.6156
Tm 0.7297 0.4595 0.2500
Tm 0.3049 0.6097 0.4173
N 0.2197 0.4395 0.2500
Tm 0.3049 0.6097 0.0827
Pb 0.0709 0.1418 0.6291
Tm 0.1144 0.2287 0.1156
Pb 0.9291 0.8582 0.1291
Tm 0.8856 0.7713 0.8844
Tm 0.1144 0.2287 0.3844